1.
{
  "formula": "CsPrHgSe3",
  "functional": "GGA-PBE",
  "state": "optimized geometry",
  "lattice": [[2.1830, -8.1780, 0.0000], [2.1830, 8.1780, 0.0000], [0.0000, 0.0000, 11.3539]],
  "species": ["Se", "Se", "Se", "Se", "Se", "Se", "Pr", "Pr", "Cs", "Cs", "Hg", "Hg"],
  "fractional_positions": [[0.6224, 0.3776, 0.0503], [0.3776, 0.6224, 0.9497], [0.3776, 0.6224, 0.5503], [0.9340, 0.0660, 0.2500], [0.0660, 0.9340, 0.7500], [0.6224, 0.3776, 0.4497], [0.0000, 0.0000, 0.5000], [0.0000, 0.0000, 0.0000], [0.7470, 0.2530, 0.7500], [0.2530, 0.7470, 0.2500], [0.4611, 0.5389, 0.7500], [0.5389, 0.4611, 0.2500]],
  "crystal_system": "orthorhombic",
  "space_group": "Cmcm, No. 63",
  "magnetic_moment_mub_per_fu": 0.00,
  "volume_a3_per_atom": 33.78,
  "final_energy_ev_per_atom": -3.97
}

***

2.
{
  "formula": "CsHg3PtS4",
  "functional": "GGA-PBE",
  "state": "optimized geometry",
  "lattice": [[6.8414, 0.0000, 0.0000], [0.0000, 6.8414, 0.0000], [0.0000, 0.0000, 6.8414]],
  "species": ["Cs", "Pt", "S", "S", "S", "S", "Hg", "Hg", "Hg"],
  "fractional_positions": [[0.0000, 0.0000, 0.0000], [0.5000, 0.5000, 0.5000], [0.3034, 0.3034, 0.3034], [0.6966, 0.3034, 0.6966], [0.6966, 0.6966, 0.3034], [0.3034, 0.6966, 0.6966], [0.5000, 0.5000, 0.0000], [0.0000, 0.5000, 0.5000], [0.5000, 0.0000, 0.5000]],
  "crystal_system": "cubic",
  "space_group": "P-43m, No. 215",
  "magnetic_moment_mub_per_fu": 1.84,
  "volume_a3_per_atom": 35.58,
  "final_energy_ev_per_atom": -2.74
}

***

3.
{
  "formula": "CsHg3Te4Pt",
  "functional": "GGA-PBE",
  "state": "optimized geometry",
  "lattice": [[-0.7434, -7.1700, 1.3316], [7.2881, -0.6500, 0.4415], [-0.3345, 1.3934, 7.1889]],
  "species": ["Te", "Te", "Te", "Te", "Cs", "Pt", "Hg", "Hg", "Hg"],
  "fractional_positions": [[0.2973, 0.2973, 0.2973], [0.2969, 0.7054, 0.7054], [0.7054, 0.2969, 0.7054], [0.7054, 0.7054, 0.2969], [0.0006, 0.0006, 0.0006], [0.5017, 0.5017, 0.5017], [0.5014, 0.5014, 0.0013], [0.0013, 0.5014, 0.5014], [0.5014, 0.0013, 0.5014]],
  "crystal_system": "trigonal",
  "space_group": "R3m, No. 160",
  "magnetic_moment_mub_per_fu": 1.12,
  "volume_a3_per_atom": 43.77,
  "final_energy_ev_per_atom": -2.38
}

***

4.
{
  "formula": "CsRbHg4",
  "functional": "GGA-PBE",
  "state": "optimized geometry",
  "lattice": [[4.2145, -5.4429, 0.6797], [-5.6767, -3.0980, 2.4549], [1.7288, 2.3767, -6.2619]],
  "species": ["Hg", "Hg", "Hg", "Hg", "Rb", "Cs"],
  "fractional_positions": [[0.4815, 0.1630, 0.3185], [0.8445, 0.1630, 0.6815], [0.6506, 0.8350, 0.8156], [0.0193, 0.8350, 0.1844], [0.4439, 0.4439, 0.0000], [0.0602, 0.5602, 0.5000]],
  "crystal_system": "orthorhombic",
  "space_group": "Imm2, No. 44",
  "volume_a3_per_atom": 37.00,
  "final_energy_ev_per_atom": -0.76
}

***

5.
{
  "formula": "CsRbHg2",
  "functional": "GGA-PBE",
  "state": "optimized geometry",
  "lattice": [[6.9995, 0.0000, 0.0000], [-0.3103, 7.1871, 0.0000], [-1.6464, -2.1561, 6.9101]],
  "species": ["Rb", "Rb", "Hg", "Hg", "Hg", "Hg", "Cs", "Cs"],
  "fractional_positions": [[0.3249, 0.2028, 0.8602], [0.6751, 0.7972, 0.1398], [0.8036, 0.9010, 0.7117], [0.8769, 0.2831, 0.0466], [0.1231, 0.7169, 0.9534], [0.1964, 0.0990, 0.2883], [0.7510, 0.3429, 0.5359], [0.2490, 0.6571, 0.4641]],
  "crystal_system": "triclinic",
  "space_group": "P-1, No. 2",
  "volume_a3_per_atom": 43.45,
  "final_energy_ev_per_atom": -0.82
}

***

6.
{
  "formula": "CsRb2Hg2",
  "functional": "GGA-PBE",
  "state": "optimized geometry",
  "lattice": [[-7.7601, -5.6930, 1.7360], [-1.1943, -1.3051, -9.6184], [3.2626, -4.3892, 0.1904]],
  "species": ["Rb", "Rb", "Rb", "Rb", "Hg", "Hg", "Hg", "Hg", "Cs", "Cs"],
  "fractional_positions": [[0.3347, 0.1653, 0.5000], [0.1653, 0.6653, 0.5000], [0.8347, 0.3347, 0.5000], [0.6653, 0.8347, 0.5000], [0.3891, 0.8891, 0.0000], [0.1109, 0.3891, 0.0000], [0.6109, 0.1109, 0.0000], [0.8891, 0.6109, 0.0000], [0.0000, 0.0000, 0.0000], [0.5000, 0.5000, 0.0000]],
  "crystal_system": "tetragonal",
  "polymorph_energy_mev_per_atom": 0,
  "space_group": "P4/mbm, No. 127",
  "volume_a3_per_atom": 52.34
}

***

7.
{
  "formula": "CsRbHg2Sb2",
  "functional": "GGA-PBE",
  "state": "optimized geometry",
  "lattice": [[-2.3259, 2.7000, -3.3779], [1.1106, -4.6888, -0.9438], [-10.1025, -3.2674, 4.3446]],
  "species": ["Sb", "Sb", "Rb", "Hg", "Hg", "Cs"],
  "fractional_positions": [[0.3333, 0.6667, 0.7421], [0.6667, 0.3333, 0.2579], [0.0000, 0.0000, 0.5001], [0.3333, 0.6667, 0.2594], [0.6667, 0.3333, 0.7406], [0.0000, 0.0000, 0.0000]],
  "crystal_system": "trigonal",
  "polymorph_energy_mev_per_atom": 0,
  "space_group": "P-3m1, No. 164",
  "volume_a3_per_atom": 39.92
}

***

8.
{
  "formula": "CsRbTmHgSb2",
  "functional": "GGA-PBE",
  "state": "optimized geometry",
  "lattice": [[-2.1762, 1.8286, 4.1804], [-0.2653, -4.9414, -1.0332], [10.0137, -1.7915, 5.9966]],
  "species": ["Cs", "Sb", "Sb", "Hg", "Rb", "Tm"],
  "fractional_positions": [[0.0000, 0.0000, 0.9864], [0.6667, 0.3333, 0.2613], [0.3333, 0.6667, 0.7407], [0.6667, 0.3333, 0.7399], [0.0000, 0.0000, 0.5159], [0.3333, 0.6667, 0.2557]],
  "crystal_system": "trigonal",
  "space_group": "P3m1, No. 156",
  "magnetic_moment_mub_per_fu": 0.91,
  "volume_a3_per_atom": 43.56,
  "final_energy_ev_per_atom": -2.80
}

***

9.
{
  "formula": "CsRbSnHg",
  "functional": "GGA-PBE",
  "state": "optimized geometry",
  "lattice": [[-1.3008, -6.9760, -0.0603], [1.1754, -0.2812, 7.1822], [-7.0914, 1.3309, -0.9927]],
  "species": ["Cs", "Cs", "Hg", "Hg", "Rb", "Rb", "Sn", "Sn"],
  "fractional_positions": [[0.5000, 0.5180, 0.1772], [0.5000, 0.1772, 0.5180], [0.7499, 0.9990, 0.9990], [0.2501, 0.9990, 0.9990], [0.0000, 0.8252, 0.4834], [0.0000, 0.4834, 0.8252], [0.0000, 0.2531, 0.2531], [0.5000, 0.7451, 0.7451]],
  "crystal_system": "orthorhombic",
  "space_group": "Amm2, No. 38",
  "volume_a3_per_atom": 44.91,
  "final_energy_ev_per_atom": -1.79
}

***

10.
{
  "formula": "Cs3RbSn2Hg2",
  "functional": "GGA-PBE",
  "state": "optimized geometry",
  "lattice": [[7.3012, 0.0000, 0.0000], [0.0000, 7.1464, 0.0000], [-2.2553, 0.0000, 7.0595]],
  "species": ["Rb", "Cs", "Cs", "Cs", "Sn", "Sn", "Hg", "Hg"],
  "fractional_positions": [[0.8234, 0.0000, 0.4870], [0.1749, 0.5000, 0.5106], [0.5192, 0.5000, 0.1769], [0.4851, 0.0000, 0.8274], [0.7490, 0.5000, 0.7470], [0.2425, 0.0000, 0.2588], [0.0029, 0.2503, 0.9961], [0.0029, 0.7497, 0.9961]],
  "crystal_system": "monoclinic",
  "space_group": "Pm, No. 6",
  "volume_a3_per_atom": 46.04,
  "final_energy_ev_per_atom": -1.78
}